First-principles (PBE) data for a relaxed K4Pr3USe8 crystal, as listed in the Alexandria database.

The space group is R-3m (No. 166, hexagonal axes) and the conventional cell measures 8.7015, 8.7015 and 23.1210 Å, with angles of 90.00, 90.00 and 120.00 degrees. The distinct sites, in fractional coordinates, are K at (0.0000, 0.0000, 0.0000), K at (0.0000, 0.5000, 0.0000), Pr at (0.0000, 0.5000, 0.5000), U at (0.0000, 0.0000, 0.5000), Se at (0.0000, 0.0000, 0.2381) and Se at (0.0075, 0.5038, 0.2367).

As for the spin magnetization: 3.0 μB/f.u. For the formation energy from raw total energies, the calculation gives -1610 meV/atom.

---

First-principles (PBE) data for a relaxed CrSiNi2 crystal, as listed in the Alexandria database.

The space group is R3m (No. 160, hexagonal axes) and the conventional cell measures 2.5898, 2.5898 and 23.6579 Å, with angles of 90.00, 90.00 and 120.00 degrees. The distinct sites, in fractional coordinates, are Cr at (0.0000, 0.0000, 0.0000), Si at (0.0000, 0.0000, 0.2486), Ni at (0.0000, 0.0000, 0.5045) and Ni at (0.0000, 0.0000, 0.7501).

As for the spin magnetization: 1.3 μB/f.u. For the formation energy from raw total energies, the calculation gives -57 meV/atom.

---

First-principles (PBE) data for a relaxed Zr2RuN crystal, as listed in the Alexandria database.

The space group is P2_1/m (No. 11) and the conventional cell measures 4.965, 3.177 and 8.002 Å, with angles of 90.00, 97.43 and 90.00 degrees. The distinct sites, in fractional coordinates, are Zr at (0.177, 0.250, 0.195), Zr at (0.274, 0.250, 0.599), Ru at (0.331, 0.750, 0.906) and N at (0.232, 0.750, 0.398).

As for the spin magnetization: 0.0 μB/f.u. For the formation energy from raw total energies, the calculation gives -940 meV/atom.

---

First-principles (PBE) data for a relaxed YZnP2S crystal, as listed in the Alexandria database.

The space group is P4/mmm (No. 123) and the conventional cell measures 5.374, 5.374 and 5.140 Å, with angles of 90.00, 90.00 and 90.00 degrees. The distinct sites, in fractional coordinates, are Y at (0.000, 0.000, 0.000), Zn at (0.500, 0.500, 0.500), P at (0.000, 0.500, 0.000) and S at (0.000, 0.000, 0.500).

As for the spin magnetization: 1.5 μB/f.u. For the formation energy from raw total energies, the calculation gives 465 meV/atom.

---

First-principles (PBE) data for a relaxed Li2Pr3Tl4 crystal, as listed in the Alexandria database.

The space group is C2/m (No. 12) and the conventional cell measures 11.313, 5.034 and 9.600 Å, with angles of 90.00, 117.13 and 90.00 degrees. The distinct sites, in fractional coordinates, are Li at (0.116, 0.000, 0.287), Pr at (0.000, 0.500, 0.000), Pr at (0.162, 0.000, 0.660), Tl at (0.055, 0.500, 0.376) and Tl at (0.231, 0.000, 0.083).

As for the spin magnetization: 0.0 μB/f.u. Its formation energy is -0.3387 eV/atom.

---

First-principles (PBE) data for a relaxed RhC2I crystal, as listed in the Alexandria database.

The space group is Fm-3m (No. 225) and the conventional cell measures 5.882, 5.882 and 5.882 Å, with angles of 90.00, 90.00 and 90.00 degrees. The distinct sites, in fractional coordinates, are Rh at (0.000, 0.000, 0.000), C at (0.250, 0.250, 0.250) and I at (0.000, 0.000, 0.500).

As for the spin magnetization: 0.0 μB/f.u. For the formation energy from raw total energies, the calculation gives 2586 meV/atom.